(1)
First-principles (GGA-PBE) data for a geometry-optimized CeYO3 structure, as listed in the Alexandria database.

Calculated values
* crystal system: orthorhombic
* space-group type: Cmmm (65)
* mass density: 5.65 g cm⁻³
* uncorrected formation energy: -2.953 eV/atom
* total energy: -8.408 eV/atom

Unit cell a=7.174 b=7.174 c=4.162 alpha=90.00 beta=90.00 gamma=130.59
Sites, in units of the cell vectors:
1 Ce 0.164 0.836 0.000
2 Ce 0.836 0.164 0.000
3 Y 0.381 0.619 0.500
4 Y 0.619 0.381 0.500
5 O 0.000 0.500 0.500
6 O 0.236 0.236 0.500
7 O 0.330 0.670 0.000
8 O 0.500 0.000 0.500
9 O 0.670 0.330 0.000
10 O 0.764 0.764 0.500

=====

(2)
First-principles (GGA-PBE) data for a geometry-optimized CeZnO structure, as listed in the Alexandria database.

Calculated values
* crystal system: tetragonal
* space-group type: P4/nmm (129)
* mass density: 7.06 g cm⁻³
* uncorrected formation energy: -1.798 eV/atom
* total energy: -5.853 eV/atom

Unit cell a=3.353 b=3.353 c=9.274 alpha=90.00 beta=90.00 gamma=90.00
Sites, in units of the cell vectors:
1 Ce 0.250 0.250 0.164
2 Ce 0.750 0.750 0.836
3 Zn 0.250 0.250 0.561
4 Zn 0.750 0.750 0.439
5 O 0.250 0.250 0.905
6 O 0.750 0.750 0.095

=====

(3)
First-principles (GGA-PBE) data for a geometry-optimized Ce3ZrO structure, as listed in the Alexandria database.

Calculated values
* crystal system: cubic
* space-group type: Pm-3m (221)
* mass density: 7.60 g cm⁻³
* uncorrected formation energy: -1.061 eV/atom
* total energy: -7.323 eV/atom

Unit cell a=4.867 b=4.867 c=4.867 alpha=90.00 beta=90.00 gamma=90.00
Sites, in units of the cell vectors:
1 Ce 0.000 0.000 0.500
2 Ce 0.000 0.500 0.000
3 Ce 0.500 0.000 0.000
4 Zr 0.500 0.500 0.500
5 O 0.000 0.000 0.000